(1)
This record from the Alexandria database describes ScSbRu2 at its PBEsol-relaxed geometry. The functional is meta-GGA SCAN.

a b c (Å): 4.4048 4.4048 3.2564
angles (deg): 90.00 90.00 90.00
Closest atoms and distances in Å follow each position.
Fractional coordinates of all 4 atoms:
1 Sc 0.0000 0.0000 0.0000  8 Ru 2.74
2 Sb 0.5000 0.5000 0.0000  8 Ru 2.74
3 Ru 0.0000 0.5000 0.5000  4 Sb 2.74, 4 Sc 2.74
4 Ru 0.5000 0.0000 0.5000  4 Sb 2.74, 4 Sc 2.74

Calculated values
- Crystal system: tetragonal
- ΔE_f (raw): -626 meV/atom
- Calculated total energy: -30.913 eV per atom
- M_tot: 0.000 μB/atom

(2)
This record from the Alexandria database describes Cd2InHg at its PBEsol-relaxed geometry. The functional is meta-GGA SCAN.

a b c (Å): 5.0634 5.0634 5.0634
angles (deg): 60.00 60.00 60.00
Closest atoms and distances in Å follow each position.
Fractional coordinates of all 4 atoms:
1 Cd 0.0000 0.0000 0.0000  4 Cd 3.10, 4 In 3.10
2 Cd 0.2500 0.2500 0.2500  4 Cd 3.10, 4 Hg 3.10
3 In 0.7500 0.7500 0.7500  4 Hg 3.10, 4 Cd 3.10
4 Hg 0.5000 0.5000 0.5000  4 Cd 3.10, 4 In 3.10

Calculated values
- Crystal system: cubic
- Formation energy from the elements: 0.081 eV per atom
- Calculated total energy: -40.514 eV per atom
- M_tot: 0.000 μB/atom
- Offset from the most stable computed form: 64 meV/atom

(3)
This record from the Alexandria database describes ZnCdGa3 at its PBEsol-relaxed geometry. The functional is meta-GGA SCAN.

a b c (Å): 4.7807 4.7807 4.7807
angles (deg): 90.00 90.00 90.00
Closest atoms and distances in Å follow each position.
Fractional coordinates of all 5 atoms:
1 Zn 0.0000 0.0000 0.0000  6 Ga 2.39
2 Cd 0.5000 0.5000 0.5000  12 Ga 3.38
3 Ga 0.0000 0.0000 0.5000  2 Zn 2.39
4 Ga 0.0000 0.5000 0.0000  2 Zn 2.39
5 Ga 0.5000 0.0000 0.0000  2 Zn 2.39

Calculated values
- Crystal system: cubic
- Formation energy from the elements: 0.349 eV per atom
- Calculated total energy: -18.245 eV per atom
- M_tot: 0.000 μB/atom

(4)
This record from the Alexandria database describes SrCa2Cd2 at its PBEsol-relaxed geometry. The functional is meta-GGA SCAN.

a b c (Å): 7.7648 7.7648 7.7648
angles (deg): 143.05 143.05 53.25
Closest atoms and distances in Å follow each position.
Fractional coordinates of all 5 atoms:
1 Sr 0.0000 0.0000 0.0000  8 Cd 3.75
2 Ca 0.2500 0.7500 0.5000  4 Cd 3.22, 4 Ca 3.48
3 Ca 0.7500 0.2500 0.5000  4 Cd 3.22, 4 Ca 3.48
4 Cd 0.3996 0.3996 0.0000  1 Cd 2.79
5 Cd 0.6004 0.6004 0.0000  1 Cd 2.79

Calculated values
- Crystal system: tetragonal
- Formation energy from the elements: -0.265 eV per atom
- Calculated total energy: -20.752 eV per atom
- M_tot: 0.012 μB/atom
- Offset from the most stable computed form: 38 meV/atom

Repeat the second record exactly.
This record from the Alexandria database describes Cd2InHg at its PBEsol-relaxed geometry. The functional is meta-GGA SCAN.

a b c (Å): 5.0634 5.0634 5.0634
angles (deg): 60.00 60.00 60.00
Closest atoms and distances in Å follow each position.
Fractional coordinates of all 4 atoms:
1 Cd 0.0000 0.0000 0.0000  4 Cd 3.10, 4 In 3.10
2 Cd 0.2500 0.2500 0.2500  4 Cd 3.10, 4 Hg 3.10
3 In 0.7500 0.7500 0.7500  4 Hg 3.10, 4 Cd 3.10
4 Hg 0.5000 0.5000 0.5000  4 Cd 3.10, 4 In 3.10

Calculated values
- Crystal system: cubic
- Formation energy from the elements: 0.081 eV per atom
- Calculated total energy: -40.514 eV per atom
- M_tot: 0.000 μB/atom
- Offset from the most stable computed form: 64 meV/atom